First-principles (PBE with a Hubbard U) data for an optimized crystal structure of Li3Cr2P3O12, as listed in Alexandria via LeMat-Bulk.

- Density of states at the Fermi level: 0.00 states/eV per cell
- Calculated total energy: -7.044 eV per atom

Cell: 14.3055 13.3815 9.7188 Å, 90.00 95.18 90.00°
With the nearest neighbours (Å) after each atom.
Space group C2 (No. 5)
Asymmetric unit:
Li: 0.1212 0.0000 0.0214  3 O 1.91-1.96
Li: 0.1399 0.3109 0.6081  3 O 1.90-2.01
Li: 0.1693 0.6200 0.5248  3 O 1.96-2.15
Li: 0.1873 0.7811 0.1617  3 O 1.87-1.93
Li: 0.2388 0.4785 0.7160  3 O 2.04-2.10
Li: 0.2400 0.1837 0.1699  3 O 2.02-2.03
Cr: 0.0000 0.4643 0.0000  6 O 1.98-1.99
Cr: 0.0000 0.6808 0.0000  6 O 1.95-2.05
Cr: 0.0000 0.7467 0.5000  6 O 1.98-2.06
Cr: 0.0000 0.9639 0.5000  6 O 1.98-1.99
Cr: 0.1062 0.0722 0.7204  6 O 1.95-2.08
Cr: 0.1097 0.3572 0.2181  6 O 1.96-2.08
P: 0.0103 0.5502 0.6973  4 O 1.52-1.62
P: 0.0106 0.8755 0.1989  4 O 1.53-1.60
P: 0.1096 0.2734 0.9015  4 O 1.53-1.60
P: 0.1137 0.1514 0.4045  4 O 1.53-1.60
P: 0.1993 0.5659 0.0720  4 O 1.53-1.59
P: 0.1986 0.8623 0.5732  4 O 1.52-1.61
O: 0.0219 0.5692 0.8621  1 P 1.62
O: 0.0217 0.8598 0.3623  1 P 1.60
O: 0.0252 0.3513 0.8756  1 P 1.60
O: 0.0313 0.0720 0.3710  1 P 1.60
O: 0.0322 0.7791 0.8636  1 P 1.53
O: 0.0392 0.6437 0.3715  1 P 1.56
O: 0.0576 0.4618 0.3346  1 P 1.54
O: 0.0581 0.9637 0.8415  1 P 1.56
O: 0.0719 0.1688 0.8587  1 P 1.54
O: 0.0770 0.2528 0.3484  1 P 1.54
O: 0.1087 0.5338 0.6539  1 P 1.52
O: 0.1089 0.8981 0.1562  1 P 1.53
O: 0.1317 0.9580 0.5845  1 P 1.61
O: 0.1330 0.1654 0.5644  1 P 1.56
O: 0.1333 0.4704 0.0786  1 P 1.59
O: 0.1378 0.7649 0.5573  1 P 1.57
O: 0.1388 0.6637 0.0641  1 P 1.57
O: 0.1447 0.2686 0.0579  1 P 1.56
O: 0.1845 0.3103 0.8105  1 P 1.53
O: 0.2021 0.1145 0.3420  1 P 1.53
O: 0.2384 0.0690 0.7910  1 P 1.53
O: 0.2426 0.3506 0.2864  1 P 1.54
O: 0.2453 0.3804 0.5498  1 P 1.52
O: 0.2456 0.0575 0.0558  1 P 1.53